A geometry-optimized BaH2Se2 structure, computed with PBE-GGA.

Cell lengths 5.936, 5.936, 9.702 Å; angles 109.77, 109.77, 51.25 degrees
Fractional coordinates of all 10 atoms:
1 Ba 0.189 0.811 0.750
2 Ba 0.811 0.189 0.250
3 H 0.359 0.425 0.963
4 H 0.425 0.359 0.463
5 H 0.575 0.641 0.537
6 H 0.641 0.575 0.037
7 Se 0.143 0.543 0.365
8 Se 0.457 0.857 0.135
9 Se 0.543 0.143 0.865
10 Se 0.857 0.457 0.635

Uncorrected energy ... -3.900 eV per atom

---

A geometry-optimized NbTc2I structure, computed with PBE-GGA.

Cell lengths 4.613, 4.613, 4.613 Å; angles 60.00, 60.00, 60.00 degrees
Fractional coordinates of all 4 atoms:
1 Nb 0.000 0.000 0.000
2 Tc 0.250 0.250 0.250
3 Tc 0.750 0.750 0.750
4 I 0.500 0.500 0.500

Formation energy (no corrections) ... 0.7150 eV per atom
E above lowest polymorph ... 0.000 eV/atom
Uncorrected energy ... -7.373 eV per atom

---

A geometry-optimized ZrHS structure, computed with PBE-GGA.

Cell lengths 3.490, 3.490, 7.518 Å; angles 90.00, 90.00, 119.96 degrees
Fractional coordinates of all 6 atoms:
1 Zr 0.168 0.832 0.750
2 Zr 0.832 0.168 0.250
3 H 0.166 0.834 0.250
4 H 0.834 0.166 0.750
5 S 0.500 0.500 0.000
6 S 0.500 0.500 0.500

Uncorrected energy ... -6.254 eV per atom

---

A geometry-optimized Bi8SbAuBr9 structure, computed with PBE-GGA.

Cell lengths 11.381, 16.186, 15.353 Å; angles 90.00, 96.00, 90.00 degrees
Fractional coordinates of all 76 atoms:
1 Bi 0.031 0.160 0.108
2 Bi 0.031 0.340 0.608
3 Bi 0.086 0.157 0.909
4 Bi 0.086 0.343 0.409
5 Bi 0.092 0.521 0.696
6 Bi 0.092 0.979 0.196
7 Bi 0.145 0.523 0.088
8 Bi 0.145 0.977 0.588
9 Bi 0.186 0.639 0.548
10 Bi 0.186 0.861 0.048
11 Bi 0.260 0.057 0.058
12 Bi 0.260 0.443 0.558
13 Bi 0.436 0.668 0.213
14 Bi 0.436 0.832 0.713
15 Bi 0.444 0.101 0.726
16 Bi 0.444 0.399 0.226
17 Bi 0.556 0.601 0.774
18 Bi 0.556 0.899 0.274
19 Bi 0.564 0.168 0.287
20 Bi 0.564 0.332 0.787
21 Bi 0.740 0.557 0.442
22 Bi 0.740 0.943 0.942
23 Bi 0.814 0.139 0.952
24 Bi 0.814 0.361 0.452
25 Bi 0.855 0.023 0.412
26 Bi 0.855 0.477 0.912
27 Bi 0.908 0.021 0.804
28 Bi 0.908 0.479 0.304
29 Bi 0.914 0.657 0.591
30 Bi 0.914 0.843 0.091
31 Bi 0.969 0.660 0.392
32 Bi 0.969 0.840 0.892
33 Sb 0.278 0.533 0.265
34 Sb 0.278 0.967 0.765
35 Sb 0.722 0.033 0.235
36 Sb 0.722 0.467 0.735
37 Au 0.137 0.521 0.401
38 Au 0.137 0.979 0.901
39 Au 0.863 0.021 0.099
40 Au 0.863 0.479 0.599
41 Br 0.007 0.115 0.642
42 Br 0.007 0.385 0.142
43 Br 0.034 0.127 0.348
44 Br 0.034 0.373 0.848
45 Br 0.268 0.712 0.753
46 Br 0.268 0.788 0.253
47 Br 0.294 0.658 0.033
48 Br 0.294 0.842 0.533
49 Br 0.295 0.222 0.795
50 Br 0.295 0.278 0.295
51 Br 0.323 0.098 0.549
52 Br 0.323 0.402 0.049
53 Br 0.389 0.032 0.309
54 Br 0.389 0.468 0.809
55 Br 0.464 0.580 0.591
56 Br 0.464 0.920 0.091
57 Br 0.473 0.190 0.113
58 Br 0.473 0.310 0.613
59 Br 0.527 0.690 0.387
60 Br 0.527 0.810 0.887
61 Br 0.536 0.080 0.909
62 Br 0.536 0.420 0.409
63 Br 0.611 0.532 0.191
64 Br 0.611 0.968 0.691
65 Br 0.677 0.598 0.951
66 Br 0.677 0.902 0.451
67 Br 0.705 0.722 0.705
68 Br 0.705 0.778 0.205
69 Br 0.706 0.158 0.467
70 Br 0.706 0.342 0.967
71 Br 0.732 0.212 0.747
72 Br 0.732 0.288 0.247
73 Br 0.966 0.627 0.152
74 Br 0.966 0.873 0.652
75 Br 0.993 0.615 0.858
76 Br 0.993 0.885 0.358

Formation energy (no corrections) ... -0.4484 eV per atom
Uncorrected energy ... -3.264 eV per atom